{"formula": "MoP2PdO", "functional": "GGA+U", "state": "relaxed", "lattice_angstrom": [[-1.948, 3.969, -1.722], [-1.910, -2.484, -3.563], [-3.090, -0.613, 2.083]], "species": ["Pd", "P", "P", "Mo", "O"], "frac_coords": [[0.000, 0.000, 0.000], [0.000, 0.500, 0.000], [0.500, 0.000, 0.000], [0.500, 0.500, 0.500], [0.000, 0.000, 0.500]], "vol_a3_per_atom": 17.00, "relative_energy_ev_per_fu": 3.50, "total_magnetization_mub_per_cell": 0.08, "sg": "P4/mmm"}